A plane-wave DFT calculation with PBE was carried out for a geometry-optimized Na3SbBr6 structure.

Properties
Its total magnetic moment is 0.00 μB per cell. The calculation puts the energy relative to the lowest polymorph listed for this composition at 0.00 eV/f.u. The calculation puts the energy relative to the elements, uncorrected at -11.6 eV per formula unit. Its calculated volume is 626.5 Å³/cell. As for the space group: P2_1/c. The calculation puts the electronic total energy at -0.2183 Ry per atom.

```
Na3SbBr6
1.0
7.3215 0.0000 0.0000
0.0000 7.8067 0.0000
-7.1258 0.0000 10.9606
Na Sb Br
6 2 12
Direct
0.0000 0.0000 0.0000
0.0000 0.5000 0.5000
0.2006 0.0827 0.7278
0.2006 0.4173 0.2278
0.7994 0.5827 0.7722
0.7994 0.9173 0.2722
0.5000 0.0000 0.5000
0.5000 0.5000 0.0000
0.1206 0.1807 0.4389
0.1206 0.3193 0.9389
0.2406 0.6981 0.4128
0.2406 0.8019 0.9128
0.4072 0.0706 0.2621
0.4072 0.4294 0.7621
0.5928 0.5706 0.2379
0.5928 0.9294 0.7379
0.7594 0.1981 0.0872
0.7594 0.3019 0.5872
0.8794 0.6807 0.0611
0.8794 0.8193 0.5611
```